1.
LiZr2ScCo | GGA-PBE | optimized geometry

Output
- SG = No. 123
- formation energy from the elements (kJ/mol of atoms) = 26.9

POSCAR file:
```
LiZr2ScCo
1.0
-3.803 -2.319 1.732
1.218 -3.841 -2.469
2.619 -1.541 3.689
Sc Co Zr Li
1 1 2 1
Cartesian
0.017 -3.851 1.476
0.000 0.000 0.000
1.310 -0.771 1.844
-1.902 -1.160 0.866
0.609 -1.920 -1.235
```

2.
AlAsOs2 | GGA-PBE | optimized geometry

Output
- SG = No. 160
- energy relative to the lowest polymorph listed for this composition (meV/atom) = 201
- formation energy from the elements (kJ/mol of atoms) = 15.4

POSCAR file:
```
AlAsOs2
1.0
8.314 0.000 0.000
7.802 2.873 0.000
7.802 1.391 2.514
As Os Al
1 2 1
Cartesian
17.890 3.190 1.881
0.031 0.006 0.003
5.944 1.060 0.625
12.010 2.141 1.263
```

Which value of formation energy from the elements does entry 2 give?
15.4 kJ/mol of atoms